VASP calculation (PBE-GGA) on a geometry-optimized Cd4SbAs structure.

Total moment = 0.000 μB/f.u.
Formation energy (no corrections) = 0.1166 eV/atom
Space-group type = I4_1md
V = 31.8 Å³/atom
Energy above the most stable polymorph in this dataset = 73.0 meV/atom

POSCAR file:
```
Cd4SbAs
1.0
-5.831 1.943 4.995
4.352 -5.981 2.830
4.701 6.302 -0.954
Cd As Sb
8 2 2
Cartesian
3.467 0.646 5.966
4.141 -4.270 3.556
5.844 -0.835 3.337
2.435 -0.955 2.630
4.157 2.684 2.287
0.910 3.224 4.266
-0.969 -0.513 4.763
-2.745 3.094 3.508
-1.116 -3.047 5.905
-0.572 4.103 2.057
-0.363 -0.991 1.920
-1.297 2.122 5.897
```